1.
Pr3Zn4Cd4, relaxed, DFT PBE; energy relative to the elements = -0.286 eV per atom; crystal system = monoclinic; calculated volume = 23.73 Å³ per atom; total energy = -2.386 eV/atom; density of states at the Fermi level = 0.883 states/eV/atom
1.0
3.8231 0.0006 0.0026
0.0006 4.7073 0.0031
1.9025 2.3405 14.5068
Pr Zn Cd
3 4 4
Direct
0.8560 0.3564 0.2874 Pr
0.1440 0.6436 0.7126 Pr
0.0000 0.0000 0.0000 Pr
0.3142 0.8141 0.3725 Zn
0.4538 0.4548 0.0904 Zn
0.6858 0.1859 0.6275 Zn
0.5462 0.5452 0.9096 Zn
0.2575 0.2580 0.4842 Cd
0.4067 0.9067 0.1863 Cd
0.7425 0.7420 0.5158 Cd
0.5934 0.0933 0.8137 Cd


2.
PrZn3Cd3, relaxed, DFT PBE; energy relative to the elements = -0.227 eV per atom; crystal system = monoclinic; calculated volume = 20.92 Å³ per atom; total energy = -1.848 eV/atom; density of states at the Fermi level = 0.351 states/eV/atom
1.0
-2.2163 3.8318 -1.2217
-4.9409 -3.8464 -3.1006
-1.9253 1.9353 9.5628
Zn Cd Pr
6 6 2
Direct
0.7500 0.3229 0.0903 Zn
0.2500 0.6771 0.9097 Zn
0.7500 0.8057 0.5425 Zn
0.7500 0.9935 0.3699 Zn
0.2500 0.0065 0.6301 Zn
0.2500 0.1943 0.4575 Zn
0.2500 0.6133 0.6173 Cd
0.2500 0.2589 0.9275 Cd
0.7500 0.3867 0.3827 Cd
0.7500 0.7411 0.0725 Cd
0.2500 0.0815 0.1586 Cd
0.7500 0.9185 0.8414 Cd
0.7500 0.3458 0.7197 Pr
0.2500 0.6542 0.2803 Pr


3.
Pr3Zn3Cd, relaxed, DFT PBE; energy relative to the elements = -0.260 eV per atom; crystal system = monoclinic; calculated volume = 25.64 Å³ per atom; total energy = -2.985 eV/atom; density of states at the Fermi level = 1.053 states/eV/atom
1.0
-2.5701 -3.9378 -0.5538
2.8857 -4.3509 -2.6962
2.5911 -6.3086 12.5919
Pr Cd Zn
6 2 6
Direct
0.3869 0.2981 0.9282 Pr
0.2575 0.2600 0.2249 Pr
0.4729 0.6788 0.3753 Pr
0.5271 0.3212 0.6247 Pr
0.6131 0.7019 0.0718 Pr
0.7425 0.7400 0.7751 Pr
0.2412 0.9176 0.5999 Cd
0.7588 0.0824 0.4001 Cd
0.1262 0.2915 0.4562 Zn
0.8738 0.7085 0.5438 Zn
0.0303 0.1621 0.7773 Zn
0.0992 0.8812 0.9204 Zn
0.9697 0.8379 0.2227 Zn
0.9008 0.1188 0.0796 Zn


4.
Pr4Zn2Cd, relaxed, DFT PBE; energy relative to the elements = -0.067 eV per atom; crystal system = trigonal; calculated volume = 30.63 Å³ per atom; total energy = -3.292 eV/atom; density of states at the Fermi level = 1.397 states/eV/atom
1.0
-1.5807 -0.7003 -4.9417
3.5030 -1.0600 -3.7436
-0.3549 -9.4267 -1.3238
Pr Zn Cd
4 2 1
Direct
0.7923 0.7923 0.6231 Pr
0.2077 0.2077 0.3769 Pr
0.3800 0.3800 0.8600 Pr
0.6200 0.6200 0.1400 Pr
0.9032 0.9032 0.2905 Zn
0.0968 0.0968 0.7095 Zn
0.0000 0.0000 0.0000 Cd


5.
Pr12Zn6Cd, relaxed, DFT PBE; energy relative to the elements = -0.095 eV per atom; crystal system = trigonal; calculated volume = 28.65 Å³ per atom; total energy = -3.564 eV/atom; density of states at the Fermi level = 1.100 states/eV/atom
1.0
8.9166 -1.0844 -1.2991
-2.4236 8.6492 -1.2991
-2.4236 -2.8237 8.2778
Pr Zn Cd
12 6 1
Direct
0.2788 0.9313 0.8342 Pr
0.1658 0.7212 0.0687 Pr
0.3584 0.4841 0.1835 Pr
0.7212 0.0687 0.1658 Pr
0.6416 0.5159 0.8165 Pr
0.5159 0.8165 0.6416 Pr
0.9313 0.8342 0.2788 Pr
0.8342 0.2788 0.9313 Pr
0.8165 0.6416 0.5159 Pr
0.4841 0.1835 0.3584 Pr
0.0687 0.1658 0.7212 Pr
0.1835 0.3584 0.4841 Pr
0.3531 0.0828 0.5977 Zn
0.4023 0.6469 0.9172 Zn
0.6469 0.9172 0.4023 Zn
0.5977 0.3531 0.0828 Zn
0.9172 0.4023 0.6469 Zn
0.0828 0.5977 0.3531 Zn
0.0000 0.0000 0.0000 Cd


6.
Pr3Zn2Cd3, relaxed, DFT PBE; energy relative to the elements = -0.280 eV per atom; crystal system = hexagonal; calculated volume = 26.34 Å³ per atom; total energy = -2.734 eV/atom; density of states at the Fermi level = 0.886 states/eV/atom
1.0
-1.1047 1.9191 -3.4003
-7.4209 -0.4211 2.1733
4.2950 6.1084 2.0521
Cd Pr Zn
3 3 2
Direct
0.0000 0.2331 0.0000 Cd
0.0000 0.7669 0.7669 Cd
0.0000 0.0000 0.2331 Cd
0.5000 0.0000 0.5977 Pr
0.5000 0.5977 0.0000 Pr
0.5000 0.4023 0.4023 Pr
0.0000 0.6667 0.3333 Zn
0.0000 0.3333 0.6667 Zn


7.
Pr3ZnCd, relaxed, DFT PBE; energy relative to the elements = -0.175 eV per atom; crystal system = cubic; calculated volume = 29.38 Å³ per atom; total energy = -3.480 eV/atom; density of states at the Fermi level = 1.434 states/eV/atom
1.0
7.6103 0.0000 0.0000
0.0000 7.6103 0.0000
0.0000 0.0000 7.6103
Pr Cd Zn
9 3 3
Direct
0.7648 0.2352 0.2352 Pr
0.2352 0.2352 0.2352 Pr
0.7648 0.7648 0.2352 Pr
0.7648 0.2352 0.7648 Pr
0.7648 0.7648 0.7648 Pr
0.2352 0.7648 0.2352 Pr
0.5000 0.5000 0.5000 Pr
0.2352 0.7648 0.7648 Pr
0.2352 0.2352 0.7648 Pr
0.5000 0.5000 0.0000 Cd
0.0000 0.5000 0.5000 Cd
0.5000 0.0000 0.5000 Cd
0.0000 0.5000 0.0000 Zn
0.0000 0.0000 0.5000 Zn
0.5000 0.0000 0.0000 Zn


8.
Pr2ZnCd, relaxed, DFT PBE; energy relative to the elements = -0.110 eV per atom; crystal system = trigonal; calculated volume = 29.58 Å³ per atom; total energy = -3.047 eV/atom; density of states at the Fermi level = 1.056 states/eV/atom
1.0
3.7438 0.0000 0.0000
1.8719 3.2422 0.0000
1.8719 1.0807 9.7491
Pr Cd Zn
2 1 1
Direct
0.2559 0.2559 0.2322 Pr
0.7441 0.7441 0.7678 Pr
0.5000 0.5000 0.5000 Cd
0.0000 0.0000 0.0000 Zn


9.
Pr2Zn2Cd3, relaxed, DFT PBE; energy relative to the elements = -0.303 eV per atom; crystal system = monoclinic; calculated volume = 23.87 Å³ per atom; total energy = -2.425 eV/atom; density of states at the Fermi level = 0.668 states/eV/atom
1.0
-0.5145 3.2232 3.1232
-3.0380 1.0519 -4.8534
-3.5274 -4.9080 4.4842
Cd Pr Zn
3 2 2
Direct
0.6222 0.2445 0.4355 Cd
0.3778 0.7555 0.5645 Cd
0.5000 0.0000 0.0000 Cd
0.1407 0.2813 0.7779 Pr
0.8593 0.7187 0.2221 Pr
0.8476 0.6952 0.7992 Zn
0.1524 0.3048 0.2008 Zn


10.
Pr2ZnCd, relaxed, DFT PBE; energy relative to the elements = -0.315 eV per atom; crystal system = tetragonal; calculated volume = 27.35 Å³ per atom; total energy = -3.252 eV/atom; density of states at the Fermi level = 1.019 states/eV/atom
1.0
-2.0013 3.1945 0.0150
-1.7547 -1.0845 -3.1552
-5.4522 -3.4353 4.2130
Pr Cd Zn
2 1 1
Direct
0.0000 0.0000 0.7695 Pr
0.0000 0.0000 0.2305 Pr
0.5000 0.5000 0.5000 Cd
0.5000 0.5000 0.0000 Zn


11.
PrZn2Cd9, relaxed, DFT PBE; energy relative to the elements = -0.110 eV per atom; crystal system = tetragonal; calculated volume = 21.84 Å³ per atom; total energy = -1.407 eV/atom; density of states at the Fermi level = 0.354 states/eV/atom
1.0
6.8657 0.0000 3.1609
3.4329 8.3281 1.5804
-0.0499 0.0000 9.1453
Cd Pr Zn
18 2 4
Direct
0.7533 0.8184 0.5759 Cd
0.0000 0.0000 0.0000 Cd
0.1476 0.1816 0.4241 Cd
0.6708 0.1816 0.5759 Cd
0.7500 0.5000 0.5000 Cd
0.9967 0.6816 0.9241 Cd
0.1476 0.4241 0.1816 Cd
0.4283 0.8184 0.4241 Cd
0.3217 0.6816 0.0759 Cd
0.4283 0.4241 0.8184 Cd
0.6024 0.3184 0.0759 Cd
0.0792 0.3184 0.9241 Cd
0.7533 0.5759 0.8184 Cd
0.9967 0.9241 0.6816 Cd
0.6024 0.0759 0.3184 Cd
0.0792 0.9241 0.3184 Cd
0.6708 0.5759 0.1816 Cd
0.3217 0.0759 0.6816 Cd
0.2500 0.5000 0.5000 Pr
0.5000 0.0000 0.0000 Pr
0.8750 0.2500 0.2500 Zn
0.3750 0.7500 0.7500 Zn
0.8750 0.7500 0.2500 Zn
0.8750 0.2500 0.7500 Zn


12.
Pr2Zn6Cd3, relaxed, DFT PBE; energy relative to the elements = -0.142 eV per atom; crystal system = orthorhombic; calculated volume = 22.10 Å³ per atom; total energy = -1.956 eV/atom; density of states at the Fermi level = 0.614 states/eV/atom
1.0
-1.1573 -3.7139 1.9423
4.4587 -3.8252 -4.6577
5.2105 1.1325 5.2701
Zn Cd Pr
6 3 2
Direct
0.5000 0.6450 0.9565 Zn
0.5000 0.6165 0.6165 Zn
0.5000 0.3835 0.3835 Zn
0.5000 0.3550 0.0435 Zn
0.5000 0.0435 0.3550 Zn
0.5000 0.9565 0.6450 Zn
0.0000 0.2132 0.2132 Cd
0.0000 0.7868 0.7868 Cd
0.5000 0.0000 0.0000 Cd
0.0000 0.7097 0.2903 Pr
0.0000 0.2903 0.7097 Pr


13.
PrZrZnCd, relaxed, DFT PBE; energy relative to the elements = -0.104 eV per atom; crystal system = cubic; calculated volume = 23.76 Å³ per atom; total energy = -3.983 eV/atom; density of states at the Fermi level = 1.503 states/eV/atom
1.0
5.1225 0.0000 0.0000
2.5612 4.4362 0.0000
2.5612 1.4787 4.1825
Zn Pr Zr Cd
1 1 1 1
Direct
0.2500 0.2500 0.2500 Zn
0.5000 0.5000 0.5000 Pr
0.0000 0.0000 0.0000 Zr
0.7500 0.7500 0.7500 Cd


14.
PrZrCd2, relaxed, DFT PBE; energy relative to the elements = -0.093 eV per atom; crystal system = cubic; calculated volume = 25.42 Å³ per atom; total energy = -3.883 eV/atom; density of states at the Fermi level = 1.510 states/eV/atom
1.0
-2.3292 -1.3694 -4.4886
2.6674 -2.6855 -3.6224
-1.1638 -5.0246 -0.9207
Zr Pr Cd
1 1 2
Direct
0.5000 0.5000 0.5000 Zr
0.0000 0.0000 0.0000 Pr
0.2500 0.2500 0.2500 Cd
0.7500 0.7500 0.7500 Cd


15.
PrZr2Cd, relaxed, DFT PBE; energy relative to the elements = 0.271 eV per atom; crystal system = trigonal; calculated volume = 25.46 Å³ per atom; total energy = -5.427 eV/atom; density of states at the Fermi level = 1.228 states/eV/atom
1.0
3.1721 0.0000 0.0000
1.5860 2.7471 0.0000
1.5860 0.9157 11.6886
Pr Zr Cd
1 2 1
Direct
0.0000 0.0000 0.0000 Pr
0.9076 0.9076 0.2772 Zr
0.0924 0.0924 0.7228 Zr
0.5000 0.5000 0.5000 Cd


16.
PrZrCd2, relaxed, DFT PBE; energy relative to the elements = -0.150 eV per atom; crystal system = tetragonal; calculated volume = 25.22 Å³ per atom; total energy = -3.939 eV/atom; density of states at the Fermi level = 1.082 states/eV/atom
1.0
-2.5091 -2.4814 -0.7240
2.3928 -1.8480 -1.9587
2.1101 -3.9820 6.3348
Zr Pr Cd
1 1 2
Direct
0.5000 0.5000 0.0000 Zr
0.5000 0.5000 0.5000 Pr
0.0000 0.0000 0.7821 Cd
0.0000 0.0000 0.2179 Cd


17.
PrZrCd, relaxed, DFT PBE; energy relative to the elements = -0.056 eV per atom; crystal system = tetragonal; calculated volume = 26.69 Å³ per atom; total energy = -4.804 eV/atom; density of states at the Fermi level = 0.546 states/eV/atom
1.0
-2.5413 1.4529 -1.8576
-2.1480 -0.2984 2.7050
4.2158 5.4447 1.7265
Zr Pr Cd
1 1 1
Direct
0.3206 0.3206 0.6412 Zr
0.9988 0.9988 0.9976 Pr
0.6806 0.6806 0.3612 Cd


18.
PrZrCd4, relaxed, DFT PBE; energy relative to the elements = -0.124 eV per atom; crystal system = cubic; calculated volume = 23.84 Å³ per atom; total energy = -2.955 eV/atom; density of states at the Fermi level = 1.116 states/eV/atom
1.0
-1.6219 -2.2740 -5.1630
-3.5380 -4.6812 -0.1638
-5.5420 0.5728 -1.8483
Cd Pr Zr
4 1 1
Direct
0.6255 0.1234 0.6255 Cd
0.6255 0.6255 0.1234 Cd
0.1234 0.6255 0.6255 Cd
0.6255 0.6255 0.6255 Cd
0.2500 0.2500 0.2500 Pr
0.0000 0.0000 0.0000 Zr


19.
PrZrCd, relaxed, DFT PBE; energy relative to the elements = 0.095 eV per atom; crystal system = trigonal; calculated volume = 27.23 Å³ per atom; total energy = -4.652 eV/atom; density of states at the Fermi level = 0.832 states/eV/atom
1.0
-3.3700 0.0747 -0.9416
1.1428 -2.6712 -4.3025
-1.2734 -2.5184 4.3576
Pr Cd Zr
1 1 1
Direct
0.6659 0.6667 0.3333 Pr
0.1705 0.3333 0.6667 Cd
0.1636 0.0000 0.0000 Zr


20.
CdPt2, relaxed, DFT PBE; energy relative to the elements = -0.169 eV per atom; crystal system = orthorhombic; calculated volume = 16.93 Å³ per atom; total energy = -4.501 eV/atom; density of states at the Fermi level = 0.900 states/eV/atom
1.0
7.5743 -0.0028 0.0000
-7.0315 2.8158 0.0000
0.0000 0.0000 4.7681
Pt Cd
4 2
Direct
0.8839 0.1161 0.5000 Pt
0.6732 0.3268 0.0000 Pt
0.2157 0.7843 0.5000 Pt
0.0049 0.9951 0.0000 Pt
0.3386 0.6614 0.0000 Cd
0.5503 0.4497 0.5000 Cd


21.
CdPt4, relaxed, DFT PBE; energy relative to the elements = -0.131 eV per atom; crystal system = tetragonal; calculated volume = 16.38 Å³ per atom; total energy = -5.147 eV/atom; density of states at the Fermi level = 1.506 states/eV/atom
1.0
-1.3347 5.3957 3.0836
2.7664 -2.3084 5.2366
2.4910 2.3225 3.5657
Pt Cd
4 1
Direct
0.1960 0.3998 0.0000 Pt
0.6002 0.1960 0.0000 Pt
0.8040 0.6002 0.0000 Pt
0.3998 0.8040 0.0000 Pt
0.0000 0.0000 0.0000 Cd


22.
Cd2Pt, relaxed, DFT PBE; energy relative to the elements = -0.229 eV per atom; crystal system = orthorhombic; calculated volume = 18.60 Å³ per atom; total energy = -2.852 eV/atom; density of states at the Fermi level = 0.355 states/eV/atom
1.0
-2.7314 -2.5736 -3.6346
2.2307 -3.4624 -3.2140
-0.9440 1.3894 4.9470
Pt Cd
1 2
Direct
0.3333 0.3333 0.0000 Pt
0.6733 0.6733 0.0000 Cd
0.9934 0.9934 0.0000 Cd


23.
Cd7Pt, relaxed, DFT PBE; energy relative to the elements = -0.046 eV per atom; crystal system = cubic; calculated volume = 20.40 Å³ per atom; total energy = -1.602 eV/atom; density of states at the Fermi level = 0.608 states/eV/atom
1.0
6.1337 0.0000 0.0000
3.0669 5.3119 0.0000
3.0669 1.7706 5.0081
Cd Pt
7 1
Direct
0.5000 0.5000 0.0000 Cd
0.5000 0.0000 0.5000 Cd
0.5000 0.5000 0.5000 Cd
0.0000 0.0000 0.5000 Cd
0.0000 0.5000 0.5000 Cd
0.0000 0.5000 0.0000 Cd
0.5000 0.0000 0.0000 Cd
0.0000 0.0000 0.0000 Pt


24.
CdPt7, relaxed, DFT PBE; energy relative to the elements = -0.104 eV per atom; crystal system = cubic; calculated volume = 16.04 Å³ per atom; total energy = -5.504 eV/atom; density of states at the Fermi level = 1.796 states/eV/atom
1.0
-3.4169 2.7943 3.5446
-5.5930 0.0057 -0.8753
-3.4140 -2.8665 3.4893
Pt Cd
7 1
Direct
0.5000 0.0000 0.0000 Pt
0.5000 0.0000 0.5000 Pt
0.0000 0.5000 0.5000 Pt
0.5000 0.5000 0.0000 Pt
0.0000 0.0000 0.5000 Pt
0.0000 0.5000 0.0000 Pt
0.5000 0.5000 0.5000 Pt
0.0000 0.0000 0.0000 Cd